1.
First-principles (PBE) data for ZnCrCd after structural relaxation, as listed in Alexandria via LeMat-Bulk.

## Properties
ΔE to the lowest computed polymorph ... 0 meV per atom
Magnetization ... 3.52 μB/f.u.
V ... 52 Å³/cell
Symmetry ... No. 107

Geometry as POSCAR:
```
ZnCrCd
1.0
5.8836 0.7357 -0.2506
3.8479 4.5117 0.2502
-4.7470 -2.8441 2.1451
Cr Cd Zn
1 1 1
Cartesian
3.1269 1.6857 0.0001
9.7279 5.2454 -0.0003
1.8612 0.7196 2.1445
```



2.
First-principles (PBE) data for ScGe2Rh after structural relaxation, as listed in Alexandria via LeMat-Bulk.

## Properties
Magnetization ... 0.00 μB/f.u.
V ... 66 Å³/cell
Total energy ... -25.21 eV/cell
Symmetry ... No. 123

Geometry as POSCAR:
```
ScGe2Rh
1.0
-3.8295 0.1255 0.9876
-0.6736 -3.3740 -2.1828
0.7729 -2.2807 3.2868
Rh Ge Sc
1 2 1
Cartesian
-1.9147 0.0628 0.4938
-0.3368 -1.6870 -1.0914
0.3864 -1.1404 1.6434
-1.8651 -2.7646 1.0458
```



3.
First-principles (PBE) data for In2H4Ir after structural relaxation, as listed in Alexandria via LeMat-Bulk.

## Properties
ΔE to the lowest computed polymorph ... 70 meV per atom
Magnetization ... 0.00 μB/f.u.
V ... 88 Å³/cell
Symmetry ... No. 139

Geometry as POSCAR:
```
In2H4Ir
1.0
-1.2767 -2.9987 -1.4416
-0.4753 -1.3639 3.2580
-7.2978 0.4697 1.0810
H In Ir
4 2 1
Cartesian
-3.3114 -3.7188 1.8583
-0.2377 -0.6819 1.6290
-0.6383 -1.4994 -0.7208
-5.7384 -0.1741 1.0390
-6.2089 -2.5227 1.9363
-2.8409 -1.3702 0.9611
0.0000 0.0000 0.0000
```



4.
First-principles (PBE) data for LaTcTe3 after structural relaxation, as listed in Alexandria via LeMat-Bulk.

## Properties
ΔE to the lowest computed polymorph ... 0 meV per atom
Magnetization ... 2.57 μB/f.u.
V ... 152 Å³/cell
Uncorrected formation energy ... -132.9 kJ/mol of formula units
Symmetry ... No. 221

Geometry as POSCAR:
```
LaTcTe3
1.0
5.3374 0.0000 0.0000
0.0000 5.3374 0.0000
0.0000 0.0000 5.3374
Te Tc La
3 1 1
Cartesian
0.0000 2.6687 0.0000
0.0000 0.0000 2.6687
2.6687 0.0000 0.0000
0.0000 0.0000 0.0000
2.6687 2.6687 2.6687
```



5.
First-principles (PBE) data for LaThZnPd after structural relaxation, as listed in Alexandria via LeMat-Bulk.

## Properties
Magnetization ... 0.00 μB/f.u.
V ... 100 Å³/cell
Total energy ... -20.43 eV/cell
Symmetry ... No. 216

Geometry as POSCAR:
```
LaThZnPd
1.0
5.2050 0.0000 0.0000
2.6025 4.5077 0.0000
2.6025 1.5026 4.2499
La Th Zn Pd
1 1 1 1
Cartesian
2.6025 1.5026 1.0625
7.8075 4.5077 3.1874
0.0000 0.0000 0.0000
5.2050 3.0051 2.1249
```



6.
First-principles (PBE) data for Zr2NbCoSe after structural relaxation, as listed in Alexandria via LeMat-Bulk.

## Properties
Magnetization ... 0.00 μB/f.u.
V ... 108 Å³/cell
Uncorrected formation energy ... 94.3 kJ/mol of formula units
Symmetry ... No. 123

Geometry as POSCAR:
```
Zr2NbCoSe
1.0
4.9118 0.0000 0.0000
0.0000 4.4971 0.0000
0.0000 0.0000 4.9118
Se Co Nb Zr
1 1 1 2
Cartesian
2.4559 2.2486 2.4559
0.0000 0.0000 0.0000
0.0000 2.2486 0.0000
2.4559 0.0000 0.0000
0.0000 0.0000 2.4559
```



7.
First-principles (PBE) data for FeTcIN2 after structural relaxation, as listed in Alexandria via LeMat-Bulk.

## Properties
ΔE to the lowest computed polymorph ... 1805 meV per atom
Magnetization ... 0.79 μB/f.u.
V ... 80 Å³/cell
Uncorrected formation energy ... 1350.0 kJ/mol of formula units
Symmetry ... No. 123

Geometry as POSCAR:
```
FeTcIN2
1.0
3.8870 0.0000 0.0000
0.0000 5.2860 0.0000
0.0000 0.0000 3.8870
Fe N I Tc
1 2 1 1
Cartesian
1.9435 2.6430 1.9435
0.0000 0.0000 1.9435
1.9435 0.0000 0.0000
0.0000 0.0000 0.0000
0.0000 2.6430 0.0000
```



8.
First-principles (PBE) data for BeTc2AgO8 after structural relaxation, as listed in Alexandria via LeMat-Bulk.

## Properties
Magnetization ... 1.02 μB/f.u.
V ... 197 Å³/cell
Uncorrected formation energy ... -1440.4 kJ/mol of formula units
Symmetry ... No. 12

Geometry as POSCAR:
```
BeTc2AgO8
1.0
-5.1006 -0.9718 -0.5995
-2.8299 -2.9734 6.1109
-3.8002 3.8730 3.2689
O Ag Tc Be
8 1 2 1
Cartesian
-8.5802 -0.5683 5.5652
-5.3989 -1.8541 3.3683
-4.1724 -0.2479 0.6212
-1.3756 0.2850 0.9499
-7.5584 0.1756 8.1590
-10.3551 -0.3572 7.8303
-6.3318 1.7818 5.4120
-3.1505 0.4961 3.2151
-5.8654 -0.0361 4.3901
-8.9191 0.3142 7.0175
-2.8117 -0.3864 1.7627
0.0000 0.0000 0.0000
```



9.
First-principles (PBE) data for PmHoAlIn after structural relaxation, as listed in Alexandria via LeMat-Bulk.

## Properties
ΔE to the lowest computed polymorph ... 0 meV per atom
Magnetization ... 0.00 μB/f.u.
V ... 103 Å³/cell
Symmetry ... No. 99

Geometry as POSCAR:
```
PmHoAlIn
1.0
3.7007 0.0000 0.0000
0.0000 3.7007 0.0000
0.0000 0.0000 7.5309
Pm In Ho Al
1 1 1 1
Cartesian
1.8503 1.8503 0.8861
0.0000 0.0000 6.3657
1.8503 1.8503 4.4933
0.0000 0.0000 2.7743
```



10.
First-principles (PBE) data for NaRhS2O6 after structural relaxation, as listed in Alexandria via LeMat-Bulk.

## Properties
Magnetization ... 0.00 μB/f.u.
V ... 128 Å³/cell
Uncorrected formation energy ... -1050.5 kJ/mol of formula units
Symmetry ... No. 148

Geometry as POSCAR:
```
NaRhS2O6
1.0
4.9130 0.0000 0.0000
2.4565 4.2548 0.0000
2.4565 1.4183 6.1380
O S Rh Na
6 2 1 1
Cartesian
3.2759 3.0534 4.3373
5.9194 4.1459 4.3373
4.2822 4.3628 1.8007
3.9067 1.5271 1.8007
6.5502 2.6197 1.8007
5.5438 1.3103 4.3373
2.4565 1.4183 1.2749
7.3695 4.2548 4.8631
4.9130 2.8365 3.0690
0.0000 0.0000 0.0000
```



11.
First-principles (PBE) data for BaLaCr after structural relaxation, as listed in Alexandria via LeMat-Bulk.

## Properties
ΔE to the lowest computed polymorph ... 0 meV per atom
Magnetization ... 3.54 μB/f.u.
V ... 109 Å³/cell
Symmetry ... No. 107

Geometry as POSCAR:
```
BaLaCr
1.0
-2.8135 -1.5816 -6.7266
2.7897 -1.5472 -6.7445
0.0307 -1.1646 7.3694
Ba Cr La
1 1 1
Cartesian
-0.0233 -3.0595 -13.1729
-0.0075 -0.9893 -4.2595
-0.0168 -2.2088 -9.5100
```



12.
First-principles (PBE) data for RbNa2As after structural relaxation, as listed in Alexandria via LeMat-Bulk.

## Properties
Magnetization ... 0.00 μB/f.u.
V ... 164 Å³/cell
Total energy ... -9.56 eV/cell
Symmetry ... No. 12

Geometry as POSCAR:
```
RbNa2As
1.0
4.8938 0.0000 1.9167
1.8666 4.2634 2.4401
-0.4849 1.9021 8.4441
As Rb Na
1 1 2
Cartesian
3.7256 3.6730 4.8994
2.5498 2.4924 7.9014
4.0995 0.8175 3.9446
1.4850 2.2652 3.4142
```



13.
First-principles (PBE) data for PmMgAl2Pt2 after structural relaxation, as listed in Alexandria via LeMat-Bulk.

## Properties
Magnetization ... 0.00 μB/f.u.
V ... 115 Å³/cell
Total energy ... -31.71 eV/cell
Symmetry ... No. 164

Geometry as POSCAR:
```
PmMgAl2Pt2
1.0
4.4238 0.0000 0.0000
-2.2119 3.8311 0.0000
0.0000 0.0000 6.7666
Pt Pm Mg Al
2 1 1 2
Cartesian
2.2119 1.2770 4.8233
0.0000 2.5541 1.9433
0.0000 0.0000 0.0000
0.0000 0.0000 3.3833
2.2119 1.2770 2.1204
0.0000 2.5541 4.6461
```



14.
First-principles (PBE) data for NiIrRu2 after structural relaxation, as listed in Alexandria via LeMat-Bulk.

## Properties
ΔE to the lowest computed polymorph ... 66 meV per atom
Magnetization ... 0.00 μB/f.u.
V ... 54 Å³/cell
Symmetry ... No. 65

Geometry as POSCAR:
```
NiIrRu2
1.0
4.6235 0.0124 -0.0110
-1.5936 4.3402 -0.0110
0.0064 0.0093 2.6878
Ru Ni Ir
2 1 1
Cartesian
0.0000 0.0000 0.0000
1.5150 2.1763 -0.0110
-0.7936 2.1747 1.3384
2.3150 0.0108 1.3384
```



15.
First-principles (PBE) data for Cs2TmGe2O6 after structural relaxation, as listed in Alexandria via LeMat-Bulk.

## Properties
Magnetization ... 0.92 μB/f.u.
V ... 200 Å³/cell
Uncorrected formation energy ... -2145.3 kJ/mol of formula units
Symmetry ... No. 166

Geometry as POSCAR:
```
Cs2TmGe2O6
1.0
-3.0198 4.7357 -2.5081
-2.8671 -5.3765 0.8430
1.1488 3.8176 5.8252
Ge Cs O Tm
2 2 6 1
Cartesian
-4.3368 2.7655 2.9005
-0.4012 0.4113 1.2595
-1.4857 1.5212 4.6612
-3.2522 1.6556 -0.5011
-2.8206 3.6200 2.6883
-4.2039 1.0283 3.0966
-2.0981 4.6012 -0.2355
-1.9174 -0.4432 1.4718
-0.5341 2.1485 1.0635
-2.6399 -1.4244 4.3956
-0.9355 4.2767 1.6585
```



16.
First-principles (PBE) data for CaGa after structural relaxation, as listed in Alexandria via LeMat-Bulk.

## Properties
Magnetization ... 0.00 μB/f.u.
V ... 882 Å³/cell
Total energy ... -91.16 eV/cell
Symmetry ... No. 70

Geometry as POSCAR:
```
CaGa
1.0
-10.0693 6.4962 -0.7912
-4.1040 -5.5288 6.8351
2.6002 4.6818 5.3483
Ca Ga
16 16
Cartesian
-6.2785 1.5724 1.6761
-7.8717 5.3256 7.1983
0.0562 0.6652 4.7458
-8.7360 3.5717 3.7983
-4.5426 4.5004 3.6245
-9.4879 3.1483 9.8900
-0.7850 4.8419 4.1763
-7.1198 5.7491 1.1066
-5.7533 -2.4408 7.6115
-3.2959 -4.4401 5.4892
-1.5600 -1.5122 7.4376
-7.8947 -0.6050 4.3678
-7.0304 1.1489 7.7678
-0.8081 -1.0887 1.3459
-2.4012 2.6645 6.8681
-4.1371 -0.2634 4.9197
-3.3218 0.6408 1.9667
-5.3580 3.5961 6.5775
0.8716 1.5694 1.7928
-3.2166 1.7603 9.8211
-4.6062 4.0196 0.4858
-2.4648 2.1838 3.7294
0.1198 1.1459 7.8845
-7.0563 6.2298 4.2453
1.7286 3.1124 3.5555
-10.4084 1.1245 4.9886
-4.0736 0.2173 8.0584
-2.8629 7.1584 4.0714
-6.2150 2.0531 4.8147
-6.1993 7.7729 6.0080
-9.5514 2.6675 6.7514
-1.6235 -1.9929 4.2989
```



17.
First-principles (PBE) data for Al3Co after structural relaxation, as listed in Alexandria via LeMat-Bulk.

## Properties
Magnetization ... 0.00 μB/f.u.
V ... 111 Å³/cell
Total energy ... -38.87 eV/cell
Symmetry ... No. 223

Geometry as POSCAR:
```
Al3Co
1.0
4.8010 0.0000 0.0000
0.0000 4.8010 0.0000
0.0000 0.0000 4.8010
Al Co
6 2
Cartesian
0.0000 3.6008 2.4005
2.4005 0.0000 3.6008
0.0000 1.2003 2.4005
3.6008 2.4005 0.0000
1.2003 2.4005 0.0000
2.4005 0.0000 1.2003
2.4005 2.4005 2.4005
0.0000 0.0000 0.0000
```



18.
First-principles (PBE) data for Ac2Dy7Er4 after structural relaxation, as listed in Alexandria via LeMat-Bulk.

## Properties
Magnetization ... 0.00 μB/f.u.
V ... 436 Å³/cell
Total energy ... -55.56 eV/cell
Symmetry ... No. 162

Geometry as POSCAR:
```
Ac2Dy7Er4
1.0
-3.1446 3.2639 4.2035
-2.6793 -1.5403 -5.3535
-4.3803 -11.1899 5.4118
Ac Er Dy
2 4 7
Cartesian
-2.9895 1.6625 1.0179
-2.8344 0.0611 -2.1678
-5.0245 -5.5339 0.5380
-5.1797 -3.9325 3.7237
-2.6523 -6.7755 3.2768
-1.7280 -4.4144 2.1349
-4.6963 -1.4095 0.4799
-5.5079 -8.0568 3.7819
-2.1212 -1.3264 2.7360
-5.1070 -9.6635 0.7842
-1.9526 -3.0667 -0.7260
-5.4037 -6.5996 6.8793
0.0000 0.0000 0.0000
```



19.
First-principles (PBE) data for AcYNi2Ge2 after structural relaxation, as listed in Alexandria via LeMat-Bulk.

## Properties
Magnetization ... 0.00 μB/f.u.
V ... 125 Å³/cell
Total energy ... -35.59 eV/cell
Symmetry ... No. 164

Geometry as POSCAR:
```
AcYNi2Ge2
1.0
-3.8449 -1.2724 -1.0463
2.6843 -2.6825 1.7595
-2.7514 2.1576 7.4870
Ni Y Ge Ac
2 1 2 1
Cartesian
-2.4398 -1.1376 1.9878
-1.4722 -0.6597 6.2124
-1.3757 1.0788 3.7435
-3.6682 -0.1743 5.3307
-0.2437 -1.6230 2.8695
0.0000 0.0000 0.0000
```



20.
First-principles (PBE) data for Er12Zn2In5 after structural relaxation, as listed in Alexandria via LeMat-Bulk.

## Properties
Magnetization ... 0.00 μB/f.u.
V ... 528 Å³/cell
Total energy ... -74.84 eV/cell
Symmetry ... No. 12

Geometry as POSCAR:
```
Er12Zn2In5
1.0
-2.8987 6.0325 1.9643
-5.7002 -7.1419 1.1373
2.1434 -1.7443 8.5198
Zn Er In
2 12 5
Cartesian
-1.9414 4.0402 1.3156
-0.9574 1.9924 0.6487
1.2364 -1.7232 7.1166
-3.1431 -5.2676 5.3897
-4.5824 -2.2722 6.3651
-3.3125 2.4140 6.2318
-1.8731 -0.5814 5.2564
-3.6842 -2.9210 9.8704
-2.2010 -6.0077 8.8653
-5.6040 -5.2979 8.0006
-0.8515 2.4443 3.6209
-7.6920 -1.1305 4.5049
-4.2545 3.1541 2.7562
-2.7713 0.0673 1.7511
-1.6031 -3.1777 7.3931
1.0717 -0.8721 4.2599
-3.7597 -2.8786 3.2923
-4.8524 0.3240 4.2284
-2.6959 0.0250 8.3292
```